Material: AcMnMo2O8
Method: DFT, PBE with a Hubbard U
State: relaxed

Properties
E_tot, eV/atom: -7.416

abc: 7.5354 7.5354 6.8474
angles: 90.00 90.00 90.00
Space group I-4m2 (No. 119)
Inequivalent atoms, fractional coordinates:
Ac: 0.0000 0.0000 0.0000
Mn: 0.0000 0.5000 0.7500
Mo: 0.0000 0.0000 0.5000
Mo: 0.0000 0.5000 0.2500
O: 0.0000 0.1992 0.6671
O: 0.0000 0.3160 0.0864